1.
Compound: Ac2NiPdAu
Source: the Alexandria database
Functional: PBE
Structure: optimized geometry

The space group is P2_1/m, No. 11. As for the formation energy: -0.62 eV/atom. The total magnetization is 0.000 μB/cell. Its calculated volume is 272.50 Å³/cell.

a = 4.532 Å, b = 8.313 Å, c = 8.359 Å
α = 120.08°, β = 90.00°, γ = 90.00°
Fractional coordinates of all 10 atoms:
Ac: 0.750 0.752 0.639
Ac: 0.750 0.751 0.111
Ac: 0.250 0.248 0.361
Ac: 0.250 0.249 0.889
Ni: 0.250 0.940 0.970
Ni: 0.750 0.060 0.030
Pd: 0.250 0.583 0.791
Pd: 0.750 0.417 0.209
Au: 0.250 0.657 0.328
Au: 0.750 0.343 0.672


2.
Compound: AcLaPr3
Source: the Alexandria database
Functional: PBE
Structure: optimized geometry

The space group is P2_1/c, No. 14. As for the formation energy: 0.07 eV/atom. The total magnetization is 0.000 μB/cell. Its calculated volume is 770.26 Å³/cell.

a = 6.422 Å, b = 7.155 Å, c = 16.773 Å
α = 90.00°, β = 88.23°, γ = 90.00°
Fractional coordinates of all 20 atoms:
Ac: 0.295 0.439 0.154
Ac: 0.205 0.939 0.346
Ac: 0.705 0.561 0.846
Ac: 0.795 0.061 0.654
La: 0.791 0.633 0.254
La: 0.710 0.133 0.246
La: 0.209 0.367 0.746
La: 0.290 0.867 0.754
Pr: 0.164 0.667 0.552
Pr: 0.336 0.167 0.948
Pr: 0.836 0.333 0.448
Pr: 0.664 0.833 0.052
Pr: 0.844 0.054 0.870
Pr: 0.656 0.554 0.630
Pr: 0.156 0.946 0.130
Pr: 0.344 0.446 0.370
Pr: 0.685 0.836 0.453
Pr: 0.815 0.336 0.047
Pr: 0.315 0.164 0.547
Pr: 0.185 0.664 0.953


3.
Compound: MnRe2HIr
Source: the Alexandria database
Functional: PBE
Structure: optimized geometry

The space group is P4/mmm, No. 123. The total magnetization is 0.988 μB/cell. The value obtained for the total energy is -46.2 eV/f.u. Its calculated volume is 58.15 Å³/cell.

a = 3.878 Å, b = 3.878 Å, c = 3.867 Å
α = 90.00°, β = 90.00°, γ = 90.00°
Site moments in Bohr magnetons follow the coordinates.
Fractional coordinates of all 5 atoms:
Re: 0.000 0.500 0.000  -0.27
Re: 0.500 0.000 0.000  -0.27
Ir: 0.500 0.500 0.500  -0.21
Mn: 0.000 0.000 0.500  1.75
H: 0.000 0.000 0.000  -0.01


4.
Compound: Ac6Pb3I
Source: the Alexandria database
Functional: PBE
Structure: optimized geometry

The space group is Cmc2_1, No. 36. Its formation energy without anion corrections is -0.419 eV/atom. The total magnetization is 0.012 μB/cell. Its calculated volume is 867.04 Å³/cell.

a = 8.113 Å, b = 10.452 Å, c = 10.452 Å
α = 101.97°, β = 90.00°, γ = 90.00°
Fractional coordinates of all 20 atoms:
Ac: 0.153 0.719 0.632
Ac: 0.653 0.632 0.719
Ac: 0.229 0.455 0.907
Ac: 0.729 0.907 0.455
Ac: 0.258 0.000 0.000
Ac: 0.631 0.256 0.744
Ac: 0.131 0.744 0.256
Ac: 0.758 0.000 0.000
Ac: 0.229 0.093 0.545
Ac: 0.729 0.545 0.093
Ac: 0.153 0.368 0.281
Ac: 0.653 0.281 0.368
Pb: 0.489 0.932 0.726
Pb: 0.989 0.726 0.932
Pb: 0.344 0.416 0.584
Pb: 0.844 0.584 0.416
Pb: 0.989 0.068 0.274
Pb: 0.489 0.274 0.068
I: 0.014 0.168 0.832
I: 0.514 0.832 0.168


Q: What is the calculated volume in the second record?
A: 770.26 Å³/cell


Q: What is the formula in the fourth record?
A: Ac6Pb3I


Q: What is the formula in the third record?
A: MnRe2HIr